Compound: Tb3Ho4Sc2
Source: the Alexandria database
Functional: PBE
Structure: relaxed

Lattice parameters (Å, degrees): 6.3380 9.4769 9.4781 88.75 102.04 102.05
With the nearest neighbours (Å) after each atom.
Positions (direct):
Tb: 0.2500 0.5407 0.4593  4 Sc 3.10-3.31, 2 Tb 3.35, 2 Ho 3.35
Tb: 0.7500 0.4593 0.5407  4 Sc 3.10-3.31, 2 Tb 3.35, 2 Ho 3.35
Sc: 0.6288 0.7528 0.6586  4 Tb 3.07-3.31, 3 Ho 3.22-3.38, 2 Sc 3.41
Ho: 0.0042 0.6730 0.0813  2 Sc 3.38-3.51, 3 Ho 3.45-3.64, 4 Tb 3.54-3.67
Ho: 0.9910 0.8155 0.4524  2 Sc 3.22-3.27, 3 Tb 3.29-3.56, 3 Ho 3.45-3.60
Sc: 0.3712 0.2472 0.3414  4 Tb 3.07-3.31, 3 Ho 3.22-3.38, 2 Sc 3.41
Sc: 0.8712 0.3413 0.2472  4 Tb 3.07-3.31, 3 Ho 3.22-3.38, 2 Sc 3.41
Tb: 0.9776 0.0280 0.1723  2 Sc 3.07-3.30, 1 Ho 3.29, 2 Tb 3.33-3.40
Ho: 0.5041 0.0813 0.6731  2 Sc 3.38-3.51, 3 Ho 3.45-3.64, 4 Tb 3.54-3.67
Ho: 0.5089 0.5475 0.1845  2 Sc 3.22-3.27, 3 Tb 3.29-3.56, 3 Ho 3.45-3.60
Sc: 0.1288 0.6587 0.7528  4 Tb 3.07-3.31, 3 Ho 3.22-3.38, 2 Sc 3.41
Ho: 0.0090 0.1845 0.5476  2 Sc 3.22-3.27, 3 Tb 3.29-3.56, 3 Ho 3.45-3.60
Ho: 0.9958 0.3270 0.9187  2 Sc 3.38-3.51, 3 Ho 3.45-3.64, 4 Tb 3.54-3.67
Tb: 0.5226 0.8276 0.9720  2 Sc 3.07-3.30, 1 Ho 3.29, 2 Tb 3.33-3.40
Tb: 0.0224 0.9720 0.8277  2 Sc 3.07-3.30, 1 Ho 3.29, 2 Tb 3.33-3.40
Ho: 0.4959 0.9187 0.3269  2 Sc 3.38-3.51, 3 Ho 3.45-3.64, 4 Tb 3.54-3.67
Tb: 0.4774 0.1724 0.0280  2 Sc 3.07-3.30, 1 Ho 3.29, 2 Tb 3.33-3.40
Ho: 0.4911 0.4525 0.8155  2 Sc 3.22-3.27, 3 Tb 3.29-3.56, 3 Ho 3.45-3.60

Results
* DOS at the Fermi energy: 25.39 states/eV per cell
* energy relative to the lowest polymorph listed for this composition: 0.016 eV per atom
* magnetic moment: 0.000 μB per atom
* energy relative to the elements: 0.12 eV/atom
* SG: C2/c (15)

=====

Compound: K2ZrF8
Source: the Alexandria database
Functional: PBE
Structure: relaxed

Lattice parameters (Å, degrees): 3.8659 5.9517 8.6486 111.81 102.91 90.00
With the nearest neighbours (Å) after each atom.
Positions (direct):
F: 0.4250 0.6345 0.8499  1 Zr 2.06
F: 0.2383 0.4086 0.4766  2 F 2.18
F: 0.6205 0.9764 0.2411  1 Zr 2.09
K: 0.8512 0.3163 0.7023  8 F 2.62-2.91
K: 0.1488 0.6837 0.2977  8 F 2.62-2.91
F: 0.7617 0.5914 0.5234  2 F 2.18
F: 0.9820 0.1689 0.9641  2 Zr 2.25, 5 F 2.31-2.52
Zr: 0.5000 0.0000 0.0000  8 F 2.06-2.25
F: 0.0180 0.8311 0.0359  2 Zr 2.25, 5 F 2.31-2.52
F: 0.5750 0.3655 0.1501  1 Zr 2.06
F: 0.3795 0.0236 0.7589  1 Zr 2.09

Results
* electronic total energy: -4.976 eV/atom
* DOS at the Fermi energy: 8.37 states/eV per cell
* magnetic moment: 0.191 μB per atom
* SG: C2/m (12)

=====

Compound: DyEr2Ni
Source: the Alexandria database
Functional: PBE
Structure: relaxed

Lattice parameters (Å, degrees): 6.2844 6.8026 9.4863 90.00 90.00 90.00
With the nearest neighbours (Å) after each atom.
Positions (direct):
Ni: 0.0552 0.3903 0.2500  2 Dy 2.72-2.79, 4 Er 2.73-2.82
Ni: 0.9448 0.6097 0.7500  2 Dy 2.72-2.79, 4 Er 2.73-2.82
Er: 0.1781 0.6778 0.0659  2 Ni 2.73-2.82
Er: 0.3219 0.1778 0.0659  2 Ni 2.73-2.82
Ni: 0.5552 0.1097 0.7500  2 Dy 2.72-2.79, 4 Er 2.73-2.82
Ni: 0.4448 0.8903 0.2500  2 Dy 2.72-2.79, 4 Er 2.73-2.82
Er: 0.3219 0.1778 0.4341  2 Ni 2.73-2.82
Dy: 0.1382 0.9679 0.7500  2 Ni 2.72-2.79
Dy: 0.8618 0.0321 0.2500  2 Ni 2.72-2.79
Er: 0.8219 0.3222 0.9341  2 Ni 2.73-2.82
Dy: 0.3618 0.4679 0.7500  2 Ni 2.72-2.79
Dy: 0.6382 0.5321 0.2500  2 Ni 2.72-2.79
Er: 0.6781 0.8222 0.9341  2 Ni 2.73-2.82
Er: 0.1781 0.6778 0.4341  2 Ni 2.73-2.82
Er: 0.8219 0.3222 0.5659  2 Ni 2.73-2.82
Er: 0.6781 0.8222 0.5659  2 Ni 2.73-2.82

Results
* DOS at the Fermi energy: 17.24 states/eV per cell
* energy relative to the lowest polymorph listed for this composition: 0.000 eV per atom
* magnetic moment: 0.000 μB per atom
* energy relative to the elements: -0.26 eV/atom
* SG: Pnma (62)

=====

Compound: Cd2ReSi
Source: the Alexandria database
Functional: PBE
Structure: relaxed

Lattice parameters (Å, degrees): 4.6941 3.8391 3.8391 90.00 90.00 90.00
With the nearest neighbours (Å) after each atom.
Positions (direct):
Si: 0.5000 0.0000 0.5000  4 Re 2.71, 8 Cd 3.03
Re: 0.5000 0.5000 0.0000  4 Si 2.71, 8 Cd 3.03
Cd: 0.0000 0.5000 0.5000  4 Cd 2.71, 4 Re 3.03, 4 Si 3.03
Cd: 0.0000 0.0000 0.0000  4 Cd 2.71, 4 Re 3.03, 4 Si 3.03

Results
* electronic total energy: -4.279 eV/atom
* DOS at the Fermi energy: 2.91 states/eV per cell
* magnetic moment: 0.186 μB per atom
* SG: P4/mmm (123)